Computed, not measured: CdGaHg4 after structural relaxation at the PBE level of DFT.

Its calculated formation energy is 1.0 eV/f.u. The crystal system is cubic. For the total magnetic moment, the calculation gives 0.0 μB per formula unit.

The space group is F-43m (No. 216) and the conventional cell measures 8.620, 8.620 and 8.620 Å, with angles of 90.00, 90.00 and 90.00 degrees. The distinct sites, in fractional coordinates, are Cd at (0.000, 0.000, 0.000), Ga at (0.250, 0.250, 0.750) and Hg at (0.125, 0.125, 0.375).

=====

Computed, not measured: Ac2CdSb3Ir4 after structural relaxation at the PBE level of DFT.

The value obtained for the formation energy without anion corrections is -0.555 eV/atom. The crystal system is tetragonal. For the total magnetic moment, the calculation gives 0.0 μB per formula unit.

The space group is P-4m2 (No. 115) and the conventional cell measures 4.518, 4.518 and 11.160 Å, with angles of 90.00, 90.00 and 90.00 degrees. The distinct sites, in fractional coordinates, are Ac at (0.000, 0.500, 0.247), Cd at (0.500, 0.500, 0.000), Sb at (0.000, 0.000, 0.000), Sb at (0.000, 0.500, 0.629), Ir at (0.000, 0.000, 0.500), Ir at (0.000, 0.500, 0.861) and Ir at (0.500, 0.500, 0.500).

=====

Computed, not measured: Sm7TmTl5 after structural relaxation at the PBE level of DFT.

Its calculated formation energy is -2.1 eV/f.u. The crystal system is orthorhombic. For the total magnetic moment, the calculation gives 0.0 μB per formula unit.

The space group is Imm2 (No. 44) and the conventional cell measures 6.716, 10.818 and 11.058 Å, with angles of 90.00, 90.00 and 90.00 degrees. The distinct sites, in fractional coordinates, are Sm at (0.000, 0.000, 0.000), Sm at (0.000, 0.000, 0.333), Sm at (0.000, 0.315, 0.108), Sm at (0.000, 0.334, 0.623), Sm at (0.000, 0.500, 0.351), Tm at (0.000, 0.000, 0.671), Tl at (0.000, 0.500, 0.876) and Tl at (0.244, 0.238, 0.864).

=====

Computed, not measured: SrAsAu3 after structural relaxation at the PBE level of DFT.

Its calculated formation energy is -1.4 eV/f.u. The crystal system is cubic. For the total magnetic moment, the calculation gives 0.0 μB per formula unit.

The space group is Pm-3m (No. 221) and the conventional cell measures 5.044, 5.044 and 5.044 Å, with angles of 90.00, 90.00 and 90.00 degrees. The distinct sites, in fractional coordinates, are Sr at (0.000, 0.000, 0.000), As at (0.500, 0.500, 0.500) and Au at (0.000, 0.500, 0.500).

=====

Computed, not measured: PmNiSnPt after structural relaxation at the PBE level of DFT.

Its calculated formation energy is -2.4 eV/f.u. The crystal system is cubic. For the total magnetic moment, the calculation gives 0.0 μB per formula unit.

The space group is F-43m (No. 216) and the conventional cell measures 6.792, 6.792 and 6.792 Å, with angles of 90.00, 90.00 and 90.00 degrees. The distinct sites, in fractional coordinates, are Pm at (0.000, 0.000, 0.000), Ni at (0.250, 0.250, 0.250), Sn at (0.000, 0.000, 0.500) and Pt at (0.250, 0.250, 0.750).

=====

Computed, not measured: KHIrCl after structural relaxation at the PBE level of DFT.

For the total energy, the calculation gives -3.818 eV/atom. The crystal system is orthorhombic. For the total magnetic moment, the calculation gives 0.0 μB per formula unit.

The space group is Pmm2 (No. 25) and the conventional cell measures 3.091, 4.957 and 5.844 Å, with angles of 90.00, 90.00 and 90.00 degrees. The distinct sites, in fractional coordinates, are K at (0.000, 0.000, 0.000), H at (0.500, 0.500, 0.994), Ir at (0.500, 0.500, 0.716) and Cl at (0.000, 0.500, 0.426).

=====

Computed, not measured: HoErRu after structural relaxation at the PBE level of DFT.

Its calculated formation energy is -1.1 eV/f.u. The crystal system is tetragonal. For the total magnetic moment, the calculation gives 0.0 μB per formula unit.

The space group is I4mm (No. 107) and the conventional cell measures 3.381, 3.381 and 12.850 Å, with angles of 90.00, 90.00 and 90.00 degrees. The distinct sites, in fractional coordinates, are Ho at (0.000, 0.000, 0.000), Er at (0.000, 0.000, 0.745) and Ru at (0.000, 0.000, 0.372).

=====

Computed, not measured: HoNpCo after structural relaxation at the PBE level of DFT.

Its calculated formation energy is 0.6 eV/f.u. The crystal system is orthorhombic. For the total magnetic moment, the calculation gives 1.8 μB per formula unit.

The space group is Cmcm (No. 63) and the conventional cell measures 3.151, 16.662 and 4.592 Å, with angles of 90.00, 90.00 and 90.00 degrees. The distinct sites, in fractional coordinates, are Ho at (0.000, 0.166, 0.250), Np at (0.000, 0.467, 0.250) and Co at (0.000, 0.331, 0.250).

=====

Computed, not measured: KAs4BrO6 after structural relaxation at the PBE level of DFT.

The value obtained for the formation energy without anion corrections is -1.318 eV/atom. The crystal system is hexagonal. For the total magnetic moment, the calculation gives 0.0 μB per formula unit.

The space group is P6/mmm (No. 191) and the conventional cell measures 5.3438, 5.3438 and 9.2980 Å, with angles of 90.00, 90.00 and 120.00 degrees. The distinct sites, in fractional coordinates, are K at (0.0000, 0.0000, 0.0000), As at (0.3333, 0.6667, 0.2950), Br at (0.0000, 0.0000, 0.5000) and O at (0.0000, 0.5000, 0.1876).

=====

Computed, not measured: Ho2TiGa9 after structural relaxation at the PBE level of DFT.

Its calculated formation energy is -5.5 eV/f.u. The crystal system is tetragonal. For the total magnetic moment, the calculation gives 0.0 μB per formula unit.

The space group is P4/mmm (No. 123) and the conventional cell measures 4.189, 4.189 and 12.443 Å, with angles of 90.00, 90.00 and 90.00 degrees. The distinct sites, in fractional coordinates, are Ho at (0.000, 0.000, 0.176), Ti at (0.000, 0.000, 0.500), Ga at (0.000, 0.500, 0.000), Ga at (0.000, 0.500, 0.347), Ga at (0.500, 0.500, 0.168) and Ga at (0.500, 0.500, 0.500).

=====

Computed, not measured: CaBrOF2 after structural relaxation at the PBE level of DFT.

The value obtained for the formation energy without anion corrections is -1.137 eV/atom. The crystal system is tetragonal. For the total magnetic moment, the calculation gives 0.0 μB per formula unit.

The space group is P4/mmm (No. 123) and the conventional cell measures 4.698, 4.698 and 4.078 Å, with angles of 90.00, 90.00 and 90.00 degrees. The distinct sites, in fractional coordinates, are Ca at (0.000, 0.000, 0.000), Br at (0.500, 0.500, 0.500), O at (0.500, 0.500, 0.000) and F at (0.000, 0.500, 0.500).

=====

Computed, not measured: MnCrAs2Br after structural relaxation at the PBE level of DFT.

The value obtained for the formation energy without anion corrections is 0.488 eV/atom. The crystal system is tetragonal. For the total magnetic moment, the calculation gives 6.9 μB per formula unit.

The space group is P4/mmm (No. 123) and the conventional cell measures 4.625, 4.625 and 5.328 Å, with angles of 90.00, 90.00 and 90.00 degrees. The distinct sites, in fractional coordinates, are Mn at (0.000, 0.000, 0.000), Cr at (0.500, 0.500, 0.500), As at (0.000, 0.500, 0.000) and Br at (0.000, 0.000, 0.500).

=====

Question: Look up the total magnetic moment of the tenth one.
Answer: 0.0 μB per formula unit

=====

Question: What is the total magnetic moment in the third record?
Answer: 0.0 μB per formula unit

=====

Question: Which value of total magnetic moment does entry 12 give?
Answer: 6.9 μB per formula unit

=====

Question: Which of these has the highest total magnetic moment?
Answer: MnCrAs2Br